Material: CeYU2As4
Method: DFT, PBE-GGA
State: relaxed

a = 7.0994 Å, b = 4.0976 Å, c = 7.2492 Å
α = 90.00°, β = 109.05°, γ = 90.00°
Last column: nearest neighbours and their distance in Å.
Element x y z (fractional)
Ce  0.0000  0.0000  0.0000  6 As 2.95
Y  0.5000  0.5000  0.0000  6 As 2.93
U  0.0000  0.5000  0.5000  6 As 2.91
U  0.5000  0.0000  0.5000  6 As 2.89
As  0.2511  0.0000  0.7455  3 U 2.89-2.91, 2 Y 2.93, 1 Ce 2.95
As  0.2550  0.5000  0.2561  3 U 2.89-2.91, 1 Y 2.93, 2 Ce 2.95
As  0.7450  0.5000  0.7439  3 U 2.89-2.91, 1 Y 2.93, 2 Ce 2.95
As  0.7489  0.0000  0.2545  3 U 2.89-2.91, 2 Y 2.93, 1 Ce 2.95

Calculated values
Theoretical density in g/cm3: 8.370
SG: No. 10
Calculated formation energy in eV/atom: -1.11